! BeCoIr2 meta-GGA SCAN single point on PBEsol structure; values from VASP
&SYSTEM
  ibrav = 0, nat = 12, ntyp = 3
/
ATOMIC_SPECIES
Be 9.01 Be.upf
Co 58.93 Co.upf
Ir 192.22 Ir.upf
CELL_PARAMETERS angstrom
2.661 0.000 0.000
-1.330 2.304 0.000
0.000 0.000 23.560
ATOMIC_POSITIONS crystal
Be 0.000 0.000 0.000
Be 0.333 0.667 0.667
Be 0.667 0.333 0.333
Co 0.000 0.000 0.500
Co 0.333 0.667 0.167
Co 0.667 0.333 0.833
Ir 0.000 0.000 0.254
Ir 0.000 0.000 0.746
Ir 0.333 0.667 0.412
Ir 0.333 0.667 0.921
Ir 0.667 0.333 0.079
Ir 0.667 0.333 0.588
! - SG: R-3m
! - Energy: -41.169 eV/atom
! - ΔH_f (0 K): -0.818 eV/f.u.


! ZrBe2CoIr meta-GGA SCAN single point on PBEsol structure; values from VASP
&SYSTEM
  ibrav = 0, nat = 5, ntyp = 4
/
ATOMIC_SPECIES
Zr 91.22 Zr.upf
Be 9.01 Be.upf
Co 58.93 Co.upf
Ir 192.22 Ir.upf
CELL_PARAMETERS angstrom
4.310 0.000 0.000
0.000 4.310 0.000
0.000 0.000 4.159
ATOMIC_POSITIONS crystal
Zr 0.000 0.000 0.000
Be 0.000 0.500 0.000
Be 0.500 0.000 0.000
Co 0.000 0.000 0.500
Ir 0.500 0.500 0.500
! - SG: P4/mmm
! - Energy: -23.611 eV/atom
! - ΔH_f (0 K): 9.755 eV/f.u.


! KBe2Co meta-GGA SCAN single point on PBEsol structure; values from VASP
&SYSTEM
  ibrav = 0, nat = 4, ntyp = 3
/
ATOMIC_SPECIES
K 39.10 K.upf
Be 9.01 Be.upf
Co 58.93 Co.upf
CELL_PARAMETERS angstrom
2.509 0.000 0.000
0.000 4.756 0.000
0.000 0.000 4.832
ATOMIC_POSITIONS crystal
K 0.000 0.000 0.000
Be 0.000 0.500 0.500
Be 0.500 0.000 0.500
Co 0.500 0.500 0.000
! - SG: Pmmm
! - Energy: -7.225 eV/atom
! - ΔH_f (0 K): 5.442 eV/f.u.


! KBeCo2 meta-GGA SCAN single point on PBEsol structure; values from VASP
&SYSTEM
  ibrav = 0, nat = 4, ntyp = 3
/
ATOMIC_SPECIES
K 39.10 K.upf
Be 9.01 Be.upf
Co 58.93 Co.upf
CELL_PARAMETERS angstrom
2.805 0.000 0.000
0.000 2.805 0.000
0.000 0.000 7.502
ATOMIC_POSITIONS crystal
K 0.000 0.000 0.000
Be 0.500 0.500 0.358
Co 0.000 0.000 0.484
Co 0.500 0.500 0.659
! - SG: P4mm
! - Energy: -11.274 eV/atom
! - ΔH_f (0 K): 2.194 eV/f.u.


! KBeCo2 meta-GGA SCAN single point on PBEsol structure; values from VASP
&SYSTEM
  ibrav = 0, nat = 4, ntyp = 3
/
ATOMIC_SPECIES
K 39.10 K.upf
Be 9.01 Be.upf
Co 58.93 Co.upf
CELL_PARAMETERS angstrom
2.579 0.000 0.000
0.000 3.837 0.000
-1.198 0.000 6.690
ATOMIC_POSITIONS crystal
K 0.000 0.000 0.000
Be 0.666 0.500 0.364
Co 0.284 0.500 0.617
Co 0.740 0.000 0.528
! - SG: Pm
! - Energy: -11.252 eV/atom
! - ΔH_f (0 K): 2.283 eV/f.u.


! KBeCo2 meta-GGA SCAN single point on PBEsol structure; values from VASP
&SYSTEM
  ibrav = 0, nat = 4, ntyp = 3
/
ATOMIC_SPECIES
K 39.10 K.upf
Be 9.01 Be.upf
Co 58.93 Co.upf
CELL_PARAMETERS angstrom
2.525 0.000 0.000
0.000 4.666 0.000
0.000 0.000 4.759
ATOMIC_POSITIONS crystal
K 0.000 0.000 0.000
Be 0.500 0.000 0.500
Co 0.000 0.500 0.500
Co 0.500 0.500 0.000
! - SG: Pmmm
! - Energy: -10.593 eV/atom
! - ΔH_f (0 K): 4.919 eV/f.u.


! K2BeCoN meta-GGA SCAN single point on PBEsol structure; values from VASP
&SYSTEM
  ibrav = 0, nat = 5, ntyp = 4
/
ATOMIC_SPECIES
K 39.10 K.upf
Be 9.01 Be.upf
Co 58.93 Co.upf
N 14.01 N.upf
CELL_PARAMETERS angstrom
5.903 0.000 0.000
0.000 5.903 0.000
0.000 0.000 3.017
ATOMIC_POSITIONS crystal
K 0.000 0.500 0.000
K 0.500 0.000 0.000
Be 0.000 0.000 0.500
Co 0.500 0.500 0.500
N 0.000 0.000 0.000
! - SG: P4/mmm
! - Energy: -9.396 eV/atom


! LaBe2Co meta-GGA SCAN single point on PBEsol structure; values from VASP
&SYSTEM
  ibrav = 0, nat = 8, ntyp = 3
/
ATOMIC_SPECIES
La 138.91 La.upf
Be 9.01 Be.upf
Co 58.93 Co.upf
CELL_PARAMETERS angstrom
6.549 0.000 0.000
0.000 3.908 0.000
-1.348 0.000 4.862
ATOMIC_POSITIONS crystal
La 0.000 0.000 0.000
La 0.500 0.500 0.000
Be 0.097 0.500 0.498
Be 0.278 0.000 0.532
Be 0.597 0.000 0.498
Be 0.778 0.500 0.532
Co 0.425 0.500 0.463
Co 0.925 0.000 0.463
! - SG: Cm
! - Energy: -17.372 eV/atom
! - Energy above the lowest structure with this stoichiometry: 0 meV/atom
! - ΔH_f (0 K): -0.371 eV/f.u.


! La2BeCo meta-GGA SCAN single point on PBEsol structure; values from VASP
&SYSTEM
  ibrav = 0, nat = 4, ntyp = 3
/
ATOMIC_SPECIES
La 138.91 La.upf
Be 9.01 Be.upf
Co 58.93 Co.upf
CELL_PARAMETERS angstrom
3.519 0.000 0.000
0.000 3.519 0.000
0.000 0.000 6.827
ATOMIC_POSITIONS crystal
La 0.000 0.000 0.239
La 0.000 0.000 0.761
Be 0.500 0.500 0.500
Co 0.500 0.500 0.000
! - SG: P4/mmm
! - Energy: -26.741 eV/atom
! - ΔH_f (0 K): 0.905 eV/f.u.


! La2BeCo meta-GGA SCAN single point on PBEsol structure; values from VASP
&SYSTEM
  ibrav = 0, nat = 12, ntyp = 3
/
ATOMIC_SPECIES
La 138.91 La.upf
Be 9.01 Be.upf
Co 58.93 Co.upf
CELL_PARAMETERS angstrom
3.930 0.000 0.000
-1.965 3.404 0.000
0.000 0.000 20.689
ATOMIC_POSITIONS crystal
La 0.000 0.000 0.000
La 0.000 0.000 0.175
La 0.333 0.667 0.667
La 0.333 0.667 0.842
La 0.667 0.333 0.333
La 0.667 0.333 0.509
Be 0.000 0.000 0.755
Be 0.333 0.667 0.421
Be 0.667 0.333 0.088
Co 0.000 0.000 0.420
Co 0.333 0.667 0.087
Co 0.667 0.333 0.754
! - SG: R3m
! - Energy: -26.988 eV/atom
! - ΔH_f (0 K): -0.085 eV/f.u.


! LaBe2Co meta-GGA SCAN single point on PBEsol structure; values from VASP
&SYSTEM
  ibrav = 0, nat = 8, ntyp = 3
/
ATOMIC_SPECIES
La 138.91 La.upf
Be 9.01 Be.upf
Co 58.93 Co.upf
CELL_PARAMETERS angstrom
4.842 0.000 0.000
0.000 7.543 0.000
0.000 0.000 3.229
ATOMIC_POSITIONS crystal
La 0.000 0.000 0.000
La 0.500 0.500 0.000
Be 0.250 0.250 0.500
Be 0.250 0.750 0.500
Be 0.750 0.250 0.500
Be 0.750 0.750 0.500
Co 0.000 0.500 0.000
Co 0.500 0.000 0.000
! - SG: Cmmm
! - Energy: -16.601 eV/atom
! - Energy above the lowest structure with this stoichiometry: 771 meV/atom
! - ΔH_f (0 K): 2.713 eV/f.u.


! La4BeCo meta-GGA SCAN single point on PBEsol structure; values from VASP
&SYSTEM
  ibrav = 0, nat = 6, ntyp = 3
/
ATOMIC_SPECIES
La 138.91 La.upf
Be 9.01 Be.upf
Co 58.93 Co.upf
CELL_PARAMETERS angstrom
0.000 4.348 4.348
4.348 0.000 4.348
4.348 4.348 0.000
ATOMIC_POSITIONS crystal
La 0.125 0.125 0.125
La 0.125 0.125 0.624
La 0.125 0.624 0.125
La 0.624 0.125 0.125
Be 0.500 0.500 0.500
Co 0.750 0.750 0.750
! - SG: F-43m
! - Energy: -31.397 eV/atom
! - ΔH_f (0 K): 5.696 eV/f.u.


! LaBe2Co meta-GGA SCAN single point on PBEsol structure; values from VASP
&SYSTEM
  ibrav = 0, nat = 4, ntyp = 3
/
ATOMIC_SPECIES
La 138.91 La.upf
Be 9.01 Be.upf
Co 58.93 Co.upf
CELL_PARAMETERS angstrom
2.831 0.000 0.000
0.000 2.831 0.000
0.000 0.000 6.814
ATOMIC_POSITIONS crystal
La 0.000 0.000 0.000
Be 0.500 0.500 0.345
Be 0.500 0.500 0.655
Co 0.000 0.000 0.500
! - SG: P4/mmm
! - Energy: -17.165 eV/atom
! - Energy above the lowest structure with this stoichiometry: 207 meV/atom
! - ΔH_f (0 K): 0.458 eV/f.u.


! LiBe2Co meta-GGA SCAN single point on PBEsol structure; values from VASP
&SYSTEM
  ibrav = 0, nat = 4, ntyp = 3
/
ATOMIC_SPECIES
Li 6.94 Li.upf
Be 9.01 Be.upf
Co 58.93 Co.upf
CELL_PARAMETERS angstrom
2.632 0.000 0.000
0.000 2.632 0.000
0.000 0.000 5.606
ATOMIC_POSITIONS crystal
Li 0.000 0.000 0.000
Be 0.500 0.500 0.300
Be 0.500 0.500 0.700
Co 0.000 0.000 0.500
! - SG: P4/mmm
! - Energy: -7.209 eV/atom
! - ΔH_f (0 K): -0.433 eV/f.u.


! Li2BeCo meta-GGA SCAN single point on PBEsol structure; values from VASP
&SYSTEM
  ibrav = 0, nat = 12, ntyp = 3
/
ATOMIC_SPECIES
Li 6.94 Li.upf
Be 9.01 Be.upf
Co 58.93 Co.upf
CELL_PARAMETERS angstrom
2.408 0.000 0.000
-1.204 2.086 0.000
0.000 0.000 25.875
ATOMIC_POSITIONS crystal
Li 0.000 0.000 0.249
Li 0.000 0.000 0.751
Li 0.333 0.667 0.418
Li 0.333 0.667 0.915
Li 0.667 0.333 0.085
Li 0.667 0.333 0.582
Be 0.000 0.000 0.000
Be 0.333 0.667 0.667
Be 0.667 0.333 0.333
Co 0.000 0.000 0.500
Co 0.333 0.667 0.167
Co 0.667 0.333 0.833
! - SG: R-3m
! - Energy: -6.398 eV/atom
! - ΔH_f (0 K): 0.844 eV/f.u.


! LiBe2Co meta-GGA SCAN single point on PBEsol structure; values from VASP
&SYSTEM
  ibrav = 0, nat = 8, ntyp = 3
/
ATOMIC_SPECIES
Li 6.94 Li.upf
Be 9.01 Be.upf
Co 58.93 Co.upf
CELL_PARAMETERS angstrom
2.553 0.000 0.000
0.000 3.726 0.000
0.000 0.000 7.580
ATOMIC_POSITIONS crystal
Li 0.000 0.000 0.000
Li 0.500 0.500 0.500
Be 0.000 0.000 0.493
Be 0.000 0.500 0.756
Be 0.500 0.000 0.256
Be 0.500 0.500 0.993
Co 0.000 0.500 0.230
Co 0.500 0.000 0.730
! - SG: Imm2
! - Energy: -7.035 eV/atom
! - ΔH_f (0 K): 0.262 eV/f.u.


! Li2BeCo meta-GGA SCAN single point on PBEsol structure; values from VASP
&SYSTEM
  ibrav = 0, nat = 4, ntyp = 3
/
ATOMIC_SPECIES
Li 6.94 Li.upf
Be 9.01 Be.upf
Co 58.93 Co.upf
CELL_PARAMETERS angstrom
2.593 0.000 0.000
0.000 3.779 0.000
0.000 0.000 4.212
ATOMIC_POSITIONS crystal
Li 0.000 0.000 0.000
Li 0.500 0.500 0.000
Be 0.000 0.500 0.500
Co 0.500 0.000 0.500
! - SG: Pmmm
! - Energy: -6.443 eV/atom
! - ΔH_f (0 K): 0.667 eV/f.u.


! LiBeCo2 meta-GGA SCAN single point on PBEsol structure; values from VASP
&SYSTEM
  ibrav = 0, nat = 8, ntyp = 3
/
ATOMIC_SPECIES
Li 6.94 Li.upf
Be 9.01 Be.upf
Co 58.93 Co.upf
CELL_PARAMETERS angstrom
2.590 0.000 0.000
0.000 3.914 0.000
0.000 0.000 7.769
ATOMIC_POSITIONS crystal
Li 0.000 0.000 0.000
Li 0.500 0.500 0.000
Be 0.000 0.000 0.500
Be 0.500 0.500 0.500
Co 0.000 0.500 0.274
Co 0.000 0.500 0.726
Co 0.500 0.000 0.274
Co 0.500 0.000 0.726
! - SG: Cmmm
! - Energy: -10.291 eV/atom
! - ΔH_f (0 K): 0.186 eV/f.u.


! LiBe2CoSe meta-GGA SCAN single point on PBEsol structure; values from VASP
&SYSTEM
  ibrav = 0, nat = 5, ntyp = 4
/
ATOMIC_SPECIES
Li 6.94 Li.upf
Be 9.01 Be.upf
Co 58.93 Co.upf
Se 78.96 Se.upf
CELL_PARAMETERS angstrom
4.028 0.000 0.000
0.000 4.028 0.000
0.000 0.000 4.464
ATOMIC_POSITIONS crystal
Li 0.000 0.000 0.000
Be 0.000 0.500 0.500
Be 0.500 0.000 0.500
Co 0.500 0.500 0.500
Se 0.500 0.500 0.000
! - SG: P4/mmm
! - Energy: -9.499 eV/atom


! MgBe2Co meta-GGA SCAN single point on PBEsol structure; values from VASP
&SYSTEM
  ibrav = 0, nat = 4, ntyp = 3
/
ATOMIC_SPECIES
Mg 24.30 Mg.upf
Be 9.01 Be.upf
Co 58.93 Co.upf
CELL_PARAMETERS angstrom
2.735 0.000 0.000
0.000 2.735 0.000
0.000 0.000 5.938
ATOMIC_POSITIONS crystal
Mg 0.000 0.000 0.000
Be 0.000 0.000 0.527
Be 0.500 0.500 0.331
Co 0.500 0.500 0.699
! - SG: P4mm
! - Energy: -7.655 eV/atom
! - ΔH_f (0 K): 0.367 eV/f.u.


! MgBe2Co2 meta-GGA SCAN single point on PBEsol structure; values from VASP
&SYSTEM
  ibrav = 0, nat = 10, ntyp = 3
/
ATOMIC_SPECIES
Mg 24.30 Mg.upf
Be 9.01 Be.upf
Co 58.93 Co.upf
CELL_PARAMETERS angstrom
3.838 0.000 0.000
0.000 3.838 0.000
0.000 0.000 7.803
ATOMIC_POSITIONS crystal
Mg 0.000 0.000 0.000
Mg 0.500 0.500 0.500
Be 0.000 0.500 0.250
Be 0.000 0.500 0.750
Be 0.500 0.000 0.250
Be 0.500 0.000 0.750
Co 0.000 0.000 0.362
Co 0.000 0.000 0.638
Co 0.500 0.500 0.138
Co 0.500 0.500 0.862
! - SG: I4/mmm
! - Energy: -9.499 eV/atom
! - ΔH_f (0 K): 0.797 eV/f.u.


! Mg2ZrBeCo meta-GGA SCAN single point on PBEsol structure; values from VASP
&SYSTEM
  ibrav = 0, nat = 5, ntyp = 4
/
ATOMIC_SPECIES
Mg 24.30 Mg.upf
Zr 91.22 Zr.upf
Be 9.01 Be.upf
Co 58.93 Co.upf
CELL_PARAMETERS angstrom
4.420 0.000 0.000
0.000 4.420 0.000
0.000 0.000 4.144
ATOMIC_POSITIONS crystal
Mg 0.000 0.500 0.000
Mg 0.500 0.000 0.000
Zr 0.000 0.000 0.500
Be 0.500 0.500 0.000
Co 0.500 0.500 0.500
! - SG: P4/mmm
! - Energy: -12.068 eV/atom
! - ΔH_f (0 K): 1.964 eV/f.u.


! Mn2BeCo meta-GGA SCAN single point on PBEsol structure; values from VASP
&SYSTEM
  ibrav = 0, nat = 4, ntyp = 3
/
ATOMIC_SPECIES
Mn 54.94 Mn.upf
Be 9.01 Be.upf
Co 58.93 Co.upf
CELL_PARAMETERS angstrom
2.423 0.000 0.000
0.000 2.423 0.000
0.000 0.000 6.555
ATOMIC_POSITIONS crystal
Mn 0.000 0.000 0.239
Mn 0.000 0.000 0.761
Be 0.500 0.500 0.000
Co 0.500 0.500 0.500
! - SG: P4/mmm
! - Energy: -14.530 eV/atom
! - ΔH_f (0 K): 0.046 eV/f.u.


! MnBe2Co meta-GGA SCAN single point on PBEsol structure; values from VASP
&SYSTEM
  ibrav = 0, nat = 4, ntyp = 3
/
ATOMIC_SPECIES
Mn 54.94 Mn.upf
Be 9.01 Be.upf
Co 58.93 Co.upf
CELL_PARAMETERS angstrom
3.653 0.000 0.000
0.000 3.653 0.000
0.000 0.000 2.717
ATOMIC_POSITIONS crystal
Mn 0.000 0.000 0.000
Be 0.000 0.500 0.500
Be 0.500 0.000 0.500
Co 0.500 0.500 0.000
! - SG: P4/mmm
! - Energy: -11.323 eV/atom
! - ΔH_f (0 K): -1.023 eV/f.u.


! Mn2BeCo meta-GGA SCAN single point on PBEsol structure; values from VASP
&SYSTEM
  ibrav = 0, nat = 8, ntyp = 3
/
ATOMIC_SPECIES
Mn 54.94 Mn.upf
Be 9.01 Be.upf
Co 58.93 Co.upf
CELL_PARAMETERS angstrom
2.749 0.000 0.000
0.000 3.601 0.000
0.000 0.000 7.632
ATOMIC_POSITIONS crystal
Mn 0.000 0.000 0.244
Mn 0.000 0.000 0.756
Mn 0.500 0.500 0.256
Mn 0.500 0.500 0.744
Be 0.000 0.500 0.500
Be 0.500 0.000 0.000
Co 0.000 0.500 0.000
Co 0.500 0.000 0.500
! - SG: Immm
! - Energy: -14.543 eV/atom
! - ΔH_f (0 K): -0.004 eV/f.u.


! Mn2BeCo meta-GGA SCAN single point on PBEsol structure; values from VASP
&SYSTEM
  ibrav = 0, nat = 4, ntyp = 3
/
ATOMIC_SPECIES
Mn 54.94 Mn.upf
Be 9.01 Be.upf
Co 58.93 Co.upf
CELL_PARAMETERS angstrom
2.653 0.000 0.000
0.000 2.653 0.000
0.000 0.000 5.385
ATOMIC_POSITIONS crystal
Mn 0.000 0.000 0.000
Mn 0.500 0.500 0.241
Be 0.000 0.000 0.490
Co 0.500 0.500 0.711
! - SG: P4mm
! - Energy: -14.645 eV/atom
! - ΔH_f (0 K): -0.412 eV/f.u.


! Mn2BeCo meta-GGA SCAN single point on PBEsol structure; values from VASP
&SYSTEM
  ibrav = 0, nat = 16, ntyp = 3
/
ATOMIC_SPECIES
Mn 54.94 Mn.upf
Be 9.01 Be.upf
Co 58.93 Co.upf
CELL_PARAMETERS angstrom
5.393 0.000 0.000
0.000 5.393 0.000
0.000 0.000 5.393
ATOMIC_POSITIONS crystal
Mn 0.000 0.000 0.000
Mn 0.000 0.500 0.500
Mn 0.250 0.250 0.250
Mn 0.250 0.750 0.750
Mn 0.500 0.000 0.500
Mn 0.500 0.500 0.000
Mn 0.750 0.250 0.750
Mn 0.750 0.750 0.250
Be 0.000 0.000 0.500
Be 0.000 0.500 0.000
Be 0.500 0.000 0.000
Be 0.500 0.500 0.500
Co 0.250 0.250 0.750
Co 0.250 0.750 0.250
Co 0.750 0.250 0.250
Co 0.750 0.750 0.750
! - SG: F-43m
! - Energy: -14.753 eV/atom
! - ΔH_f (0 K): -0.845 eV/f.u.


! YMnBe2Co meta-GGA SCAN single point on PBEsol structure; values from VASP
&SYSTEM
  ibrav = 0, nat = 5, ntyp = 4
/
ATOMIC_SPECIES
Y 88.91 Y.upf
Mn 54.94 Mn.upf
Be 9.01 Be.upf
Co 58.93 Co.upf
CELL_PARAMETERS angstrom
4.722 0.000 0.000
0.000 4.722 0.000
0.000 0.000 4.373
ATOMIC_POSITIONS crystal
Y 0.000 0.000 0.000
Mn 0.500 0.500 0.500
Be 0.000 0.500 0.000
Be 0.500 0.000 0.000
Co 0.000 0.000 0.500
! - SG: P4/mmm
! - Energy: -12.604 eV/atom
! - ΔH_f (0 K): 9.090 eV/f.u.


! BeCoMo2 meta-GGA SCAN single point on PBEsol structure; values from VASP
&SYSTEM
  ibrav = 0, nat = 8, ntyp = 3
/
ATOMIC_SPECIES
Be 9.01 Be.upf
Co 58.93 Co.upf
Mo 95.94 Mo.upf
CELL_PARAMETERS angstrom
3.560 0.000 0.000
0.000 3.560 0.000
0.000 0.000 7.788
ATOMIC_POSITIONS crystal
Be 0.000 0.000 0.000
Be 0.500 0.500 0.500
Co 0.000 0.000 0.500
Co 0.500 0.500 0.000
Mo 0.000 0.500 0.250
Mo 0.000 0.500 0.750
Mo 0.500 0.000 0.250
Mo 0.500 0.000 0.750
! - SG: I4/mmm
! - Energy: -22.771 eV/atom
! - ΔH_f (0 K): 0.345 eV/f.u.


! BeCoMo2 meta-GGA SCAN single point on PBEsol structure; values from VASP
&SYSTEM
  ibrav = 0, nat = 8, ntyp = 3
/
ATOMIC_SPECIES
Be 9.01 Be.upf
Co 58.93 Co.upf
Mo 95.94 Mo.upf
CELL_PARAMETERS angstrom
9.176 0.000 0.000
0.000 2.559 0.000
-1.380 0.000 4.129
ATOMIC_POSITIONS crystal
Be 0.000 0.000 0.000
Be 0.500 0.500 0.000
Co 0.310 0.000 0.697
Co 0.810 0.500 0.697
Mo 0.047 0.500 0.524
Mo 0.250 0.500 0.155
Mo 0.547 0.000 0.524
Mo 0.750 0.000 0.155
! - SG: Cm
! - Energy: -22.695 eV/atom
! - ΔH_f (0 K): 0.649 eV/f.u.